Compound: SrPu2MgO8
Source: the Alexandria database
Functional: PBE
Structure: relaxed

Formation energy from raw total energies: -2.474 eV per atom

a = 5.383 Å, b = 5.383 Å, c = 10.441 Å
α = 90.00°, β = 90.00°, γ = 90.00°
Space group I-4 (No. 82)
Asymmetric unit:
Sr 0.000 0.000 0.000 [2 per cell]
Pu 0.000 0.000 0.500 [2 per cell]
Pu 0.000 0.500 0.250 [2 per cell]
Mg 0.000 0.500 0.750 [2 per cell]
O 0.197 0.736 0.385 [8 per cell]
O 0.217 0.754 0.643 [8 per cell]